Record 1
## KCuTe2 (GGA-PBEsol)

Data for a geometry-optimized KCuTe2 structure.

Properties
The calculation puts the density of states at the Fermi level at 1.845 states/eV per cell. Its formation energy (no corrections) is 0.024 eV per atom. The value obtained for the total energy is -3.1057 eV/atom.

Unit cell a=3.7314 b=3.7314 c=10.2273 alpha=79.49 beta=79.49 gamma=60.00
Last column: nearest neighbours and their distance in Å.
Sites, in units of the cell vectors:
K: 0.5000 0.5000 0.5000  6 Te 3.39, 6 K 3.73
Te: 0.9206 0.9206 0.2383  1 Cu 2.38
Te: 0.0794 0.0794 0.7617  1 Cu 2.38
Cu: 0.0000 0.0000 0.0000  2 Te 2.38

Record 2
## K2Cu2Te5 (GGA-PBEsol)

Data for a geometry-optimized K2Cu2Te5 structure.

Properties
The calculation puts the density of states at the Fermi level at 6.596 states/eV per cell. Its formation energy (no corrections) is -0.393 eV per atom. The value obtained for the total energy is -3.5666 eV/atom.

Unit cell a=6.7847 b=6.7847 c=11.9203 alpha=90.00 beta=90.00 gamma=113.09
Last column: nearest neighbours and their distance in Å.
Sites, in units of the cell vectors:
Cu: 0.2998 0.5216 0.2500  1 Cu 2.51, 4 Te 2.59-2.62
Cu: 0.7002 0.4784 0.7500  1 Cu 2.51, 4 Te 2.59-2.62
Cu: 0.5216 0.2998 0.2500  1 Cu 2.51, 4 Te 2.59-2.62
Cu: 0.4784 0.7002 0.7500  1 Cu 2.51, 4 Te 2.59-2.62
K: 0.2085 0.7915 0.5000  10 Te 3.53-3.80, 2 Cu 3.68, 2 K 3.86
K: 0.7915 0.2085 0.0000  10 Te 3.53-3.80, 2 Cu 3.68, 2 K 3.86
K: 0.7915 0.2085 0.5000  10 Te 3.53-3.80, 2 Cu 3.68, 2 K 3.86
K: 0.2085 0.7915 0.0000  10 Te 3.53-3.80, 2 Cu 3.68, 2 K 3.86
Te: 0.3373 0.3373 0.4375  2 Cu 2.62, 1 Te 2.85
Te: 0.6627 0.6627 0.9375  2 Cu 2.62, 1 Te 2.85
Te: 0.3373 0.3373 0.0625  2 Cu 2.62, 1 Te 2.85
Te: 0.6627 0.6627 0.5625  2 Cu 2.62, 1 Te 2.85
Te: 0.9260 0.5466 0.2500  2 Cu 2.59-2.61, 1 Te 2.86
Te: 0.0740 0.4534 0.7500  2 Cu 2.59-2.61, 1 Te 2.86
Te: 0.5466 0.9260 0.2500  2 Cu 2.59-2.61, 1 Te 2.86
Te: 0.4534 0.0740 0.7500  2 Cu 2.59-2.61, 1 Te 2.86
Te: 0.9894 0.9894 0.2500  2 Te 2.86
Te: 0.0106 0.0106 0.7500  2 Te 2.86

Record 3
## KCu2Te (GGA-PBEsol)

Data for a geometry-optimized KCu2Te structure.

Properties
The calculation puts the density of states at the Fermi level at 1.245 states/eV per cell. Its formation energy (no corrections) is 0.008 eV per atom. The value obtained for the total energy is -3.3240 eV/atom.

Unit cell a=4.3695 b=4.9295 c=5.0971 alpha=90.00 beta=90.00 gamma=90.00
Last column: nearest neighbours and their distance in Å.
Sites, in units of the cell vectors:
Cu: 0.0000 0.7390 0.0000  2 Cu 2.36-2.57, 2 Te 2.54
Cu: 0.0000 0.2610 0.0000  2 Cu 2.36-2.57, 2 Te 2.54
K: 0.5000 0.5000 0.5000  4 Te 3.55, 8 Cu 3.56
Te: 0.5000 0.0000 0.0000  4 Cu 2.54

Record 4
## KCuTe (GGA-PBEsol)

Data for a geometry-optimized KCuTe structure.

Properties
Its formation energy (no corrections) is -0.547 eV per atom. The value obtained for the total energy is -3.5446 eV/atom.

Unit cell a=4.3862 b=4.3862 c=5.0309 alpha=90.00 beta=90.00 gamma=120.00
Last column: nearest neighbours and their distance in Å.
Sites, in units of the cell vectors:
K: 0.3333 0.6667 0.0000  6 Cu 3.57, 6 Te 3.57
Te: 0.6667 0.3333 0.5000  3 Cu 2.53
Cu: 0.0000 0.0000 0.5000  3 Te 2.53

Record 5
## KCu2Te (GGA-PBEsol)

Data for a geometry-optimized KCu2Te structure.

Properties
The calculation puts the density of states at the Fermi level at 3.064 states/eV per cell. Its formation energy (no corrections) is 0.224 eV per atom. The value obtained for the total energy is -3.1080 eV/atom.

Unit cell a=4.2312 b=5.4529 c=5.4529 alpha=69.99 beta=67.17 gamma=67.17
Last column: nearest neighbours and their distance in Å.
Sites, in units of the cell vectors:
Cu: 0.0152 0.9848 0.9848  2 Cu 2.39, 2 Te 2.56
Cu: 0.6571 0.8429 0.8429  2 Cu 2.39, 1 Te 2.56
K: 0.4965 0.5035 0.5035  4 Cu 3.37-3.41, 4 Te 3.38-3.39
Te: 0.3312 0.1688 0.1688  3 Cu 2.56

Record 6
## KCuTe (GGA-PBEsol)

Data for a geometry-optimized KCuTe structure.

Properties
Its formation energy (no corrections) is -0.552 eV per atom. The value obtained for the total energy is -3.5501 eV/atom.

Unit cell a=4.3935 b=4.3935 c=9.9718 alpha=90.00 beta=90.00 gamma=120.00
Last column: nearest neighbours and their distance in Å.
Sites, in units of the cell vectors:
K: 0.0000 0.0000 0.0000  6 Te 3.56, 6 Cu 3.56
K: 0.0000 0.0000 0.5000  6 Te 3.56, 6 Cu 3.56
Te: 0.3333 0.6667 0.7500  3 Cu 2.54
Te: 0.6667 0.3333 0.2500  3 Cu 2.54
Cu: 0.6667 0.3333 0.7500  3 Te 2.54
Cu: 0.3333 0.6667 0.2500  3 Te 2.54

Record 7
## KCu2Te (GGA-PBEsol)

Data for a geometry-optimized KCu2Te structure.

Properties
The calculation puts the density of states at the Fermi level at 1.362 states/eV per cell. Its formation energy (no corrections) is 0.421 eV per atom. The value obtained for the total energy is -2.9111 eV/atom.

Unit cell a=4.6746 b=5.0250 c=4.6746 alpha=62.28 beta=90.00 gamma=117.72
Last column: nearest neighbours and their distance in Å.
Sites, in units of the cell vectors:
Cu: 0.0000 0.0000 0.0000  4 Te 3.01, 4 Cu 3.01, 4 K 3.31
Cu: 0.2500 0.5000 0.2500  4 K 3.01, 4 Cu 3.01, 4 Te 3.31
K: 0.5000 0.0000 0.5000  8 Cu 3.01-3.31, 4 Te 3.01
Te: 0.7500 0.5000 0.7500  4 K 3.01, 8 Cu 3.01-3.31

Record 8
## KCuTe3 (GGA-PBEsol)

Data for a geometry-optimized KCuTe3 structure.

Properties
The calculation puts the density of states at the Fermi level at 4.162 states/eV per cell. Its formation energy (no corrections) is -0.116 eV per atom. The value obtained for the total energy is -3.3255 eV/atom.

Unit cell a=5.2429 b=5.2429 c=5.2429 alpha=90.00 beta=90.00 gamma=90.00
Last column: nearest neighbours and their distance in Å.
Sites, in units of the cell vectors:
K: 0.5000 0.5000 0.5000  12 Te 3.71
Te: 0.0000 0.5000 0.0000  2 Cu 2.62
Te: 0.0000 0.0000 0.5000  2 Cu 2.62
Te: 0.5000 0.0000 0.0000  2 Cu 2.62
Cu: 0.0000 0.0000 0.0000  6 Te 2.62

Record 9
## KCuTe2 (GGA-PBEsol)

Data for a geometry-optimized KCuTe2 structure.

Properties
The calculation puts the density of states at the Fermi level at 1.081 states/eV per cell. Its formation energy (no corrections) is -0.394 eV per atom. The value obtained for the total energy is -3.5238 eV/atom.

Unit cell a=3.9854 b=5.1578 c=6.3994 alpha=87.94 beta=90.00 gamma=90.00
Last column: nearest neighbours and their distance in Å.
Sites, in units of the cell vectors:
K: 0.5000 0.5000 0.0000  8 Te 3.64, 2 K 3.99, 2 Cu 4.04
Te: 0.0000 0.9888 0.2522  2 Cu 2.55
Te: 0.0000 0.0112 0.7478  2 Cu 2.55
Cu: 0.5000 0.0000 0.5000  4 Te 2.55

Record 10
## KCu2Te (GGA-PBEsol)

Data for a geometry-optimized KCu2Te structure.

Properties
The calculation puts the density of states at the Fermi level at 1.225 states/eV per cell. Its formation energy (no corrections) is 0.373 eV per atom. The value obtained for the total energy is -2.9585 eV/atom.

Unit cell a=4.0835 b=4.4768 c=4.4733 alpha=90.00 beta=90.00 gamma=90.00
Last column: nearest neighbours and their distance in Å.
Sites, in units of the cell vectors:
Cu: 0.0000 0.0000 0.0000  4 Te 3.03, 4 K 3.03, 4 Cu 3.16
Cu: 0.0000 0.5000 0.5000  4 K 3.03, 4 Te 3.03, 4 Cu 3.16
K: 0.5000 0.5000 0.0000  8 Cu 3.03, 4 Te 3.16
Te: 0.5000 0.0000 0.5000  8 Cu 3.03, 4 K 3.16

Record 11
## KCu2Te (GGA-PBEsol)

Data for a geometry-optimized KCu2Te structure.

Properties
The calculation puts the density of states at the Fermi level at 2.338 states/eV per cell. Its formation energy (no corrections) is 0.104 eV per atom. The value obtained for the total energy is -3.2280 eV/atom.

Unit cell a=3.2362 b=3.7633 c=7.5160 alpha=90.00 beta=102.27 gamma=90.00
Last column: nearest neighbours and their distance in Å.
Sites, in units of the cell vectors:
Cu: 0.2204 0.0000 0.0675  4 Cu 2.52, 2 Te 2.61
Cu: 0.7493 0.5000 0.1256  4 Cu 2.52, 2 Te 2.76
K: 0.4314 0.0000 0.4853  1 Cu 3.07, 2 K 3.24
Te: 0.0989 0.5000 0.8217  4 Cu 2.61-2.76

Record 12
## KZnCuTe2 (GGA-PBEsol)

Data for a geometry-optimized KZnCuTe2 structure.

Properties
Its formation energy (no corrections) is -0.486 eV per atom. The value obtained for the total energy is -3.3064 eV/atom.

Unit cell a=4.1991 b=4.1991 c=7.9833 alpha=105.25 beta=105.25 gamma=90.00
Last column: nearest neighbours and their distance in Å.
Sites, in units of the cell vectors:
Zn: 0.2500 0.7500 0.5000  4 Te 2.66, 4 Cu 2.97
Te: 0.3606 0.3606 0.7213  2 Cu 2.66, 2 Zn 2.66
Te: 0.6394 0.6394 0.2787  2 Cu 2.66, 2 Zn 2.66
K: 0.0000 0.0000 0.0000  8 Te 3.62
Cu: 0.7500 0.2500 0.5000  4 Te 2.66, 4 Zn 2.97

Record 13
## KTiCu3 (GGA-PBEsol)

Data for a geometry-optimized KTiCu3 structure.

Properties
The calculation puts the density of states at the Fermi level at 4.156 states/eV per cell. The value obtained for the total energy is -3.5361 eV/atom.

Unit cell a=4.8148 b=4.8148 c=4.8148 alpha=90.00 beta=90.00 gamma=90.00
Last column: nearest neighbours and their distance in Å.
Sites, in units of the cell vectors:
K: 0.5000 0.5000 0.5000  12 Cu 3.40
Cu: 0.0000 0.5000 0.0000  2 Ti 2.41
Cu: 0.0000 0.0000 0.5000  2 Ti 2.41
Cu: 0.5000 0.0000 0.0000  2 Ti 2.41
Ti: 0.0000 0.0000 0.0000  6 Cu 2.41

Record 14
## KTi2Cu (GGA-PBEsol)

Data for a geometry-optimized KTi2Cu structure.

Properties
The calculation puts the density of states at the Fermi level at 6.306 states/eV per cell. The value obtained for the total energy is -4.4251 eV/atom.

Unit cell a=4.6095 b=4.6095 c=4.6095 alpha=60.00 beta=60.00 gamma=60.00
Last column: nearest neighbours and their distance in Å.
Sites, in units of the cell vectors:
K: 0.0000 0.0000 0.0000  8 Ti 2.82
Cu: 0.5000 0.5000 0.5000  8 Ti 2.82
Ti: 0.2500 0.2500 0.2500  4 K 2.82, 4 Cu 2.82
Ti: 0.7500 0.7500 0.7500  4 K 2.82, 4 Cu 2.82